No. 1
An optimized crystal structure of ThScMnZn, computed with PBE-GGA.

* E: -24.3 eV/cell
* E_form: -3 kJ/mol of atoms
* Fermi-level density of states: 2.67 states/eV per cell

a = 4.9174 Å, b = 4.9174 Å, c = 4.9174 Å
α = 60.00°, β = 60.00°, γ = 60.00°
Fractional coordinates of all 4 atoms:
Th  0.0000  0.0000  0.0000
Sc  0.5000  0.5000  0.5000
Mn  0.7500  0.7500  0.7500
Zn  0.2500  0.2500  0.2500

=====

No. 2
An optimized crystal structure of ScTiMn3, computed with PBE-GGA.

* E: -38.2 eV/cell
* excess energy over the best structure of this formula in the dataset: 0.000 eV per atom
* E_form: 68 kJ/mol of atoms
* Fermi-level density of states: 7.62 states/eV per cell

a = 4.4681 Å, b = 4.4681 Å, c = 4.4681 Å
α = 90.00°, β = 90.00°, γ = 90.00°
Fractional coordinates of all 5 atoms:
Sc  0.0000  0.0000  0.0000
Ti  0.5000  0.5000  0.5000
Mn  0.0000  0.5000  0.5000
Mn  0.5000  0.0000  0.5000
Mn  0.5000  0.5000  0.0000

=====

No. 3
An optimized crystal structure of ScTi2Mn, computed with PBE-GGA.

* E: -60.3 eV/cell
* excess energy over the best structure of this formula in the dataset: 0.312 eV per atom
* E_form: 27 kJ/mol of atoms
* Fermi-level density of states: 13.65 states/eV per cell

a = 5.7357 Å, b = 5.7357 Å, c = 5.7357 Å
α = 103.41°, β = 103.41°, γ = 122.42°
Fractional coordinates of all 8 atoms:
Sc  0.0000  0.0000  0.0000
Sc  0.7500  0.2500  0.5000
Ti  0.1839  0.6250  0.0589
Ti  0.3750  0.4339  0.5589
Ti  0.5661  0.1250  0.9411
Ti  0.8750  0.8161  0.4411
Mn  0.2500  0.7500  0.5000
Mn  0.5000  0.5000  0.0000

=====

No. 4
An optimized crystal structure of ScTi2Mn, computed with PBE-GGA.

* E: -30.7 eV/cell
* excess energy over the best structure of this formula in the dataset: 0.168 eV per atom
* E_form: 13 kJ/mol of atoms
* Fermi-level density of states: 9.39 states/eV per cell

a = 4.4952 Å, b = 4.4952 Å, c = 4.4952 Å
α = 60.00°, β = 60.00°, γ = 60.00°
Fractional coordinates of all 4 atoms:
Sc  0.0000  0.0000  0.0000
Ti  0.2500  0.2500  0.2500
Ti  0.7500  0.7500  0.7500
Mn  0.5000  0.5000  0.5000

=====

No. 5
An optimized crystal structure of Sc2TiMn, computed with PBE-GGA.

* E: -28.2 eV/cell
* excess energy over the best structure of this formula in the dataset: 0.054 eV per atom
* E_form: 36 kJ/mol of atoms
* Fermi-level density of states: 6.09 states/eV per cell

a = 10.1939 Å, b = 10.1939 Å, c = 10.1939 Å
α = 16.85°, β = 16.85°, γ = 16.85°
Fractional coordinates of all 4 atoms:
Sc  0.0944  0.0944  0.0944
Sc  0.9056  0.9056  0.9056
Ti  0.0000  0.0000  0.0000
Mn  0.5000  0.5000  0.5000

=====

No. 6
An optimized crystal structure of ScTi2Mn9, computed with PBE-GGA.

* E: -106.1 eV/cell
* E_form: -12 kJ/mol of atoms
* Fermi-level density of states: 17.96 states/eV per cell

a = 8.2834 Å, b = 8.2834 Å, c = 8.2834 Å
α = 33.34°, β = 33.34°, γ = 33.34°
Fractional coordinates of all 12 atoms:
Sc  0.0000  0.0000  0.0000
Ti  0.1429  0.1429  0.1429
Ti  0.8571  0.8571  0.8571
Mn  0.0745  0.5906  0.5906
Mn  0.3370  0.3370  0.3370
Mn  0.4094  0.4094  0.9255
Mn  0.4094  0.9255  0.4094
Mn  0.5000  0.5000  0.5000
Mn  0.5906  0.0745  0.5906
Mn  0.5906  0.5906  0.0745
Mn  0.6630  0.6630  0.6630
Mn  0.9255  0.4094  0.4094

=====

Among the records above, which one has the lowest Fermi-level density of states? ThScMnZn